No. 1
Compound: Ag5ICl8
Source: the Alexandria database
Functional: PBE-GGA
Structure: relaxed

Results
density = 3.90 g/cm³
calculated volume = 28.856 Å³ per atom
magnetic moment = 0.00 μB/f.u.
DFT total energy = -2.526 eV/atom

abc: 8.574 8.574 8.574
angles: 97.95 97.95 136.34
Positions (direct):
Ag (0.000, 0.000, 0.000)
Ag (0.065, 0.566, 0.160)
Ag (0.096, 0.935, 0.502)
Ag (0.406, 0.904, 0.840)
Ag (0.434, 0.594, 0.498)
I (0.750, 0.250, 0.500)
Cl (0.242, 0.436, 0.191)
Cl (0.245, 0.051, 0.809)
Cl (0.564, 0.755, 0.806)
Cl (0.586, 0.409, 0.501)
Cl (0.591, 0.092, 0.177)
Cl (0.908, 0.084, 0.499)
Cl (0.916, 0.414, 0.823)
Cl (0.949, 0.758, 0.194)

=====

No. 2
Compound: InBSbI2
Source: the Alexandria database
Functional: PBE-GGA
Structure: relaxed

Results
density = 4.04 g/cm³
calculated volume = 41.215 Å³ per atom
magnetic moment = 0.98 μB/f.u.
energy above the most stable polymorph in this dataset = 3.23 eV per formula unit

abc: 5.973 5.973 5.776
angles: 90.00 90.00 90.00
Positions (direct):
In (0.000, 0.000, 0.000)
B (0.500, 0.500, 0.500)
Sb (0.000, 0.000, 0.500)
I (0.000, 0.500, 0.000)
I (0.500, 0.000, 0.000)

=====

No. 3
Compound: TaAgRu
Source: the Alexandria database
Functional: PBE-GGA
Structure: relaxed

Results
density = 12.87 g/cm³
energy relative to the elements = 47 meV per atom
calculated volume = 16.769 Å³ per atom
magnetic moment = 0.00 μB/f.u.
energy above the most stable polymorph in this dataset = 0.00 eV per formula unit

abc: 5.156 5.156 5.156
angles: 142.56 142.56 53.98
Positions (direct):
Ta (0.000, 0.000, 0.000)
Ag (0.316, 0.316, 0.000)
Ru (0.631, 0.631, 0.000)

=====

No. 4
Compound: NbNiAsSe2
Source: the Alexandria database
Functional: PBE-GGA
Structure: relaxed

Results
density = 6.60 g/cm³
calculated volume = 19.341 Å³ per atom
magnetic moment = 0.00 μB/f.u.
energy above the most stable polymorph in this dataset = 0.00 eV per formula unit

abc: 4.644 4.644 4.484
angles: 90.00 90.00 90.00
Positions (direct):
Nb (0.000, 0.000, 0.000)
Ni (0.500, 0.500, 0.500)
As (0.500, 0.500, 0.000)
Se (0.000, 0.500, 0.500)
Se (0.500, 0.000, 0.500)